(1)
The following is a PBE calculation of a relaxed K2ZnIn7 crystal, from Alexandria via LeMat-Bulk.

E_form, meV/atom: -81
Crystal system: tetragonal

Structure (CIF):
```
data_K2ZnIn7
_chemical_formula_sum 'K2 Zn1 In7'
_symmetry_space_group_name_H-M 'P -4 m 2'
_symmetry_Int_Tables_number 115
_cell_length_a 4.914
_cell_length_b 4.914
_cell_length_c 12.519
_cell_angle_alpha 90.00
_cell_angle_beta 90.00
_cell_angle_gamma 90.00
loop_
_symmetry_equiv_pos_as_xyz
'x,y,z'
'y,-x,-z'
'-x,-y,z'
'-y,x,-z'
'-x,y,z'
'-y,-x,-z'
'x,-y,z'
'y,x,-z'
loop_
_atom_site_label
_atom_site_fract_x
_atom_site_fract_y
_atom_site_fract_z
K1 0.000 0.500 0.243
Zn1 0.500 0.500 0.000
In1 0.000 0.000 0.000
In2 0.000 0.000 0.500
In3 0.000 0.500 0.642
In4 0.000 0.500 0.873
In5 0.500 0.500 0.500
```


(2)
The following is a PBE calculation of a relaxed Nd5YHo6 crystal, from Alexandria via LeMat-Bulk.

E_form, meV/atom: 19
Crystal system: orthorhombic
Polymorph energy (0 for the lowest one), kJ/mol of formula units: 5

Structure (CIF):
```
data_Nd5YHo6
_chemical_formula_sum 'Nd10 Y2 Ho12'
_symmetry_space_group_name_H-M 'I m m m'
_symmetry_Int_Tables_number 71
_symmetry_space_group_name_Hall '-I 2 2'
_cell_length_a 5.102
_cell_length_b 10.101
_cell_length_c 15.293
_cell_angle_alpha 90.00
_cell_angle_beta 90.00
_cell_angle_gamma 90.00
loop_
_atom_site_label
_atom_site_fract_x
_atom_site_fract_y
_atom_site_fract_z
Nd1 0.000 0.000 0.000
Nd2 0.000 0.000 0.334
Nd3 0.000 0.500 0.333
Y1 0.000 0.500 0.000
Ho1 0.000 0.249 0.500
Ho2 0.000 0.250 0.166
```


(3)
The following is a PBE calculation of a relaxed CrMoW3 crystal, from Alexandria via LeMat-Bulk.

E_form, meV/atom: 581
Crystal system: monoclinic
Polymorph energy (0 for the lowest one), kJ/mol of formula units: 82

Structure (CIF):
```
data_CrMoW3
_chemical_formula_sum 'Cr8 Mo8 W24'
_symmetry_space_group_name_H-M 'C 1 2/c 1'
_symmetry_Int_Tables_number 15
_cell_length_a 17.027
_cell_length_b 9.314
_cell_length_c 4.389
_cell_angle_alpha 90.00
_cell_angle_beta 104.86
_cell_angle_gamma 90.00
loop_
_symmetry_equiv_pos_as_xyz
'x,y,z'
'-x,-y,-z'
'-x,y,-z+1/2'
'x,-y,z+1/2'
'x+1/2,y+1/2,z'
'-x+1/2,-y+1/2,-z'
'-x+1/2,y+1/2,-z+1/2'
'x+1/2,-y+1/2,z+1/2'
loop_
_atom_site_label
_atom_site_fract_x
_atom_site_fract_y
_atom_site_fract_z
Cr1 0.000 0.074 0.250
Cr2 0.000 0.225 0.750
Mo1 0.241 0.414 0.491
W1 0.101 0.417 0.852
W2 0.113 0.253 0.363
W3 0.129 0.082 0.879
```


(4)
The following is a PBE calculation of a relaxed VBiAs2Se crystal, from Alexandria via LeMat-Bulk.

Crystal system: tetragonal
Formation energy from raw total energies, meV per atom: 177
Polymorph energy (0 for the lowest one), kJ/mol of formula units: 0

Structure (CIF):
```
data_VBiAs2Se
_chemical_formula_sum 'V1 Bi1 As2 Se1'
_symmetry_space_group_name_H-M 'P 4/m m m'
_symmetry_Int_Tables_number 123
_symmetry_space_group_name_Hall '-P 4 2'
_cell_length_a 4.938
_cell_length_b 4.938
_cell_length_c 4.678
_cell_angle_alpha 90.00
_cell_angle_beta 90.00
_cell_angle_gamma 90.00
loop_
_atom_site_label
_atom_site_fract_x
_atom_site_fract_y
_atom_site_fract_z
V1 0.000 0.000 0.000
Bi1 0.500 0.500 0.500
As1 0.000 0.500 0.000
Se1 0.000 0.000 0.500
```


no.,calculated volume (Å³/atom),spin magnetization (μB per atom)
1,30.2,0.000
2,32.8,0.000
3,16.8,0.000
4,22.8,0.000